First-principles (GGA-PBE) data for a relaxed NdThOsI crystal, as listed in the Alexandria database.

The space group is R3m (No. 160, hexagonal axes) and the conventional cell measures 4.2026, 4.2026 and 24.6761 Å, with angles of 90.00, 90.00 and 120.00 degrees. Symmetry generates all atoms from Nd at (0.0000, 0.0000, 0.0000), Th at (0.0000, 0.0000, 0.2138), Os at (0.0000, 0.0000, 0.6018) and I at (0.0000, 0.0000, 0.7724).

The spin magnetization comes out at 0.0 μB/cell. The calculation puts the formation energy from raw total energies at -0.64 eV/atom. As for the crystal system: trigonal. As for the total energy: -82.56 eV for the cell shown.

First-principles (GGA-PBE) data for a relaxed LiNd2Au3 crystal, as listed in the Alexandria database.

The space group is Pmm2 (No. 25) and the conventional cell measures 3.688, 4.670 and 8.125 Å, with angles of 90.00, 90.00 and 90.00 degrees. Symmetry generates all atoms from Li at (0.000, 0.000, 0.000), Nd at (0.500, 0.000, 0.654), Nd at (0.500, 0.500, 0.188), Au at (0.000, 0.000, 0.317), Au at (0.000, 0.500, 0.517) and Au at (0.000, 0.500, 0.864).

The energy above the lowest structure with this stoichiometry comes out at 5 meV/atom. The spin magnetization comes out at 0.0 μB/cell. As for the crystal system: orthorhombic. As for the total energy: -25.32 eV for the cell shown. Its calculated formation energy is -0.673 eV per atom.

First-principles (GGA-PBE) data for a relaxed Tl2InCo crystal, as listed in the Alexandria database.

The space group is Imm2 (No. 44) and the conventional cell measures 3.051, 4.475 and 13.697 Å, with angles of 90.00, 90.00 and 90.00 degrees. Symmetry generates all atoms from Tl at (0.000, 0.000, 0.000), Tl at (0.000, 0.500, 0.182), In at (0.000, 0.500, 0.827) and Co at (0.000, 0.000, 0.493).

The energy above the lowest structure with this stoichiometry comes out at 57 meV/atom. The spin magnetization comes out at 0.0 μB/cell. As for the crystal system: orthorhombic. As for the total energy: -26.89 eV for the cell shown. Its calculated formation energy is 0.283 eV per atom.

First-principles (GGA-PBE) data for a relaxed Sb2PRh crystal, as listed in the Alexandria database.

The space group is C2/m (No. 12) and the conventional cell measures 6.219, 7.491 and 3.489 Å, with angles of 90.00, 102.87 and 90.00 degrees. Symmetry generates all atoms from Sb at (0.250, 0.250, 0.000), P at (0.000, 0.000, 0.500) and Rh at (0.000, 0.500, 0.500).

The spin magnetization comes out at 0.0 μB/cell. The calculation puts the formation energy from raw total energies at 0.22 eV/atom. As for the crystal system: monoclinic. As for the total energy: -40.23 eV for the cell shown.

First-principles (GGA-PBE) data for a relaxed Ce2DyTm crystal, as listed in the Alexandria database.

The space group is P4/mmm (No. 123) and the conventional cell measures 3.460, 3.460 and 10.031 Å, with angles of 90.00, 90.00 and 90.00 degrees. Symmetry generates all atoms from Ce at (0.000, 0.000, 0.248), Dy at (0.500, 0.500, 0.500) and Tm at (0.500, 0.500, 0.000).

The energy above the lowest structure with this stoichiometry comes out at 19 meV/atom. The spin magnetization comes out at 1.5 μB/cell. As for the crystal system: tetragonal. As for the total energy: -20.53 eV for the cell shown. Its calculated formation energy is 0.104 eV per atom.

First-principles (GGA-PBE) data for a relaxed KY2AlZn crystal, as listed in the Alexandria database.

The space group is P4/mmm (No. 123) and the conventional cell measures 5.442, 5.442 and 5.315 Å, with angles of 90.00, 90.00 and 90.00 degrees. Symmetry generates all atoms from K at (0.000, 0.000, 0.000), Y at (0.000, 0.500, 0.000), Al at (0.000, 0.000, 0.500) and Zn at (0.500, 0.500, 0.500).

The spin magnetization comes out at 0.0 μB/cell. As for the crystal system: tetragonal. As for the total energy: -11.98 eV for the cell shown. Its calculated formation energy is 1.413 eV per atom.

- Look up the spin magnetization of the third one.
  0.0 μB/cell